The following is a PBE-GGA calculation of an optimized crystal structure of Na2MgSb2, from Alexandria via LeMat-Bulk.

Values from the calculation:
Offset from the most stable computed form = 73 meV/atom

Unit cell a=8.7905 b=11.4423 c=6.2345 alpha=90.00 beta=90.00 gamma=90.00
Last column: nearest neighbours and their distance in Å.
Space group Ibam (No. 72)
Symmetry-distinct sites (fractional):
Na: 0.1094 0.1926 0.0000 (multiplicity 8)  3 Sb 3.05-3.39
Mg: 0.0000 0.5000 0.2500 (multiplicity 4)  4 Sb 2.89, 2 Mg 3.12
Sb: 0.2332 0.0568 0.5000 (multiplicity 8)  2 Mg 2.89, 2 Na 3.05-3.18



The following is a PBE-GGA calculation of an optimized crystal structure of Na2MgScSb, from Alexandria via LeMat-Bulk.

Unit cell a=5.1731 b=5.1731 c=5.6884 alpha=90.00 beta=90.00 gamma=90.00
Last column: nearest neighbours and their distance in Å.
Space group P4/mmm (No. 123)
Symmetry-distinct sites (fractional):
Na: 0.0000 0.5000 0.0000 (multiplicity 2)  2 Mg 2.59
Mg: 0.0000 0.0000 0.0000 (multiplicity 1)  4 Na 2.59, 2 Sc 2.84
Sc: 0.0000 0.0000 0.5000 (multiplicity 1)  2 Mg 2.84
Sb: 0.5000 0.5000 0.5000 (multiplicity 1)  4 Sc 3.66, 8 Na 3.84



The following is a PBE-GGA calculation of an optimized crystal structure of NaMgScSb2, from Alexandria via LeMat-Bulk.

Unit cell a=5.3949 b=5.3949 c=4.9741 alpha=90.00 beta=90.00 gamma=90.00
Last column: nearest neighbours and their distance in Å.
Space group P4/mmm (No. 123)
Symmetry-distinct sites (fractional):
Na: 0.0000 0.0000 0.0000 (multiplicity 1)  2 Sc 2.49, 4 Sb 2.70
Mg: 0.5000 0.5000 0.5000 (multiplicity 1)  8 Sb 3.67, 4 Sc 3.81
Sc: 0.0000 0.0000 0.5000 (multiplicity 1)  2 Na 2.49
Sb: 0.0000 0.5000 0.0000 (multiplicity 2)  2 Na 2.70



In order of appearance, magnetization = 0.00 0.00 0.00 μB per formula unit.
In order of appearance, raw total energy = -2.764 -2.475 -2.883 eV/atom.
In order of appearance, energy relative to the elements, uncorrected = -130 223 296 kJ/mol of formula units.